Entry 1:
! KTlI3, relaxed, DFT PBE; values from VASP
&SYSTEM
  ibrav = 0, nat = 5, ntyp = 3
/
ATOMIC_SPECIES
I 126.90 I.upf
Tl 204.38 Tl.upf
K 39.10 K.upf
CELL_PARAMETERS angstrom
-0.413 -0.491 6.512
3.056 -5.780 -0.243
5.771 3.026 0.594
ATOMIC_POSITIONS crystal
I 0.000 0.500 0.000
I 0.500 0.000 0.000
I 0.000 0.000 0.500
Tl 0.500 0.500 0.500
K 0.000 0.000 0.000
! total moment: 1.0 μB per cell

***

Entry 2:
! K2TlI4, relaxed, DFT PBE; values from VASP
&SYSTEM
  ibrav = 0, nat = 7, ntyp = 3
/
ATOMIC_SPECIES
K 39.10 K.upf
I 126.90 I.upf
Tl 204.38 Tl.upf
CELL_PARAMETERS angstrom
-4.691 0.229 -3.974
0.588 -6.035 -1.043
-7.899 -4.648 4.294
ATOMIC_POSITIONS crystal
K 0.363 0.363 0.274
I 0.175 0.175 0.650
I 0.500 0.000 0.000
K 0.637 0.637 0.726
I 0.000 0.500 0.000
Tl 0.000 0.000 0.000
I 0.825 0.825 0.350
! total moment: 0.0 μB per cell

***

We obtain raw formation energy values of -10.730 -21.477 kcal/mol of atoms for the records listed above, in that order.
We obtain calculated volume values of 56.0 49.4 Å³ per atom for the records listed above, in that order.
We obtain DOS at the Fermi energy values of 13.15 2.17 states/eV per cell for the records listed above, in that order.